Record 1
Below is a relaxed structure of SrIr2Au, with properties calculated at the GGA-PBEsol level.

Values from the calculation:
SG   No. 10
E_tot   -24.2 eV per formula unit
Total magnetic moment   0.000 μB/cell

abc: 2.8374 4.7520 5.5645
angles: 90.00 100.68 90.00
Atoms (fractional coordinates):
Sr: 0.5000 0.5000 0.0000
Ir: 0.8278 0.0000 0.7017
Au: 0.0000 0.5000 0.5000
Ir: 0.1722 0.0000 0.2983



Record 2
Below is a relaxed structure of SrIr2Au, with properties calculated at the GGA-PBEsol level.

Values from the calculation:
SG   No. 44
E_tot   -23.9 eV per formula unit
Total magnetic moment   0.000 μB/cell

abc: 4.3774 4.9839 4.9839
angles: 63.25 63.95 63.95
Atoms (fractional coordinates):
Ir: 0.0442 0.9558 0.9558
Au: 0.2837 0.2163 0.2163
Sr: 0.4955 0.5045 0.5045
Ir: 0.6765 0.8235 0.8235



Record 3
Below is a relaxed structure of SrTl2IrAu, with properties calculated at the GGA-PBEsol level.

Values from the calculation:
SG   No. 123
E_tot   -12.0 eV per formula unit
Total magnetic moment   1.135 μB/cell

abc: 5.2496 5.8936 5.8936
angles: 90.00 90.00 90.00
Atoms (fractional coordinates):
Au: 0.5000 0.0000 0.0000
Sr: 0.0000 0.0000 0.0000
Tl: 0.0000 0.5000 0.0000
Tl: 0.0000 0.0000 0.5000
Ir: 0.5000 0.5000 0.5000



Record 4
Below is a relaxed structure of Ta2IrAu, with properties calculated at the GGA-PBEsol level.

Values from the calculation:
SG   No. 47
E_tot   -40.3 eV per formula unit
Total magnetic moment   0.000 μB/cell

abc: 2.8553 4.0387 5.5993
angles: 90.00 90.00 90.00
Atoms (fractional coordinates):
Ir: 0.5000 0.5000 0.5000
Ta: 0.0000 0.0000 0.2606
Ta: 0.0000 0.0000 0.7394
Au: 0.5000 0.5000 0.0000



Record 5
Below is a relaxed structure of TaIr2Au, with properties calculated at the GGA-PBEsol level.

Values from the calculation:
SG   No. 12
E_tot   -36.1 eV per formula unit
Total magnetic moment   0.000 μB/cell

abc: 2.7763 4.8549 5.3962
angles: 116.58 104.66 90.54
Atoms (fractional coordinates):
Au: 0.0000 0.5000 0.0000
Ta: 0.5000 0.0000 0.0000
Ir: 0.5000 0.5000 0.5000
Ir: 0.0000 0.0000 0.5000



Record 6
Below is a relaxed structure of Ta2IrAu, with properties calculated at the GGA-PBEsol level.

Values from the calculation:
SG   No. 65
E_tot   -40.2 eV per formula unit
Total magnetic moment   0.000 μB/cell

abc: 2.8667 4.9018 4.9018
angles: 110.66 90.00 90.00
Atoms (fractional coordinates):
Ir: 0.5000 0.5000 0.5000
Au: 0.5000 0.0000 0.0000
Ta: 0.0000 0.5000 0.0000
Ta: 0.0000 0.0000 0.5000



Record 7
Below is a relaxed structure of Ta2IrAu, with properties calculated at the GGA-PBEsol level.

Values from the calculation:
SG   No. 216
E_tot   -38.9 eV per formula unit
Total magnetic moment   0.002 μB/cell

abc: 4.5197 4.5197 4.5197
angles: 60.00 60.00 60.00
Atoms (fractional coordinates):
Ta: 0.2500 0.2500 0.2500
Au: 0.5000 0.5000 0.5000
Ta: 0.0000 0.0000 0.0000
Ir: 0.7500 0.7500 0.7500



Record 8
Below is a relaxed structure of TaIrAu2, with properties calculated at the GGA-PBEsol level.

Values from the calculation:
SG   No. 10
E_tot   -30.0 eV per formula unit
Total magnetic moment   0.000 μB/cell

abc: 2.8640 4.6895 4.9100
angles: 90.00 90.00 91.53
Atoms (fractional coordinates):
Ir: 0.0000 0.5000 0.5000
Au: 0.7593 0.7493 0.0000
Ta: 0.5000 0.0000 0.5000
Au: 0.2407 0.2507 0.0000



Record 9
Below is a relaxed structure of Ta2IrAu, with properties calculated at the GGA-PBEsol level.

Values from the calculation:
SG   No. 123
E_tot   -40.3 eV per formula unit
Total magnetic moment   0.000 μB/cell

abc: 2.8288 2.8288 8.1253
angles: 90.00 90.00 90.00
Atoms (fractional coordinates):
Ta: 0.0000 0.0000 0.2648
Au: 0.5000 0.5000 0.0000
Ta: 0.0000 0.0000 0.7352
Ir: 0.5000 0.5000 0.5000



Record 10
Below is a relaxed structure of TcIrAu2, with properties calculated at the GGA-PBEsol level.

Values from the calculation:
SG   No. 8
E_tot   -27.9 eV per formula unit
Total magnetic moment   0.000 μB/cell

abc: 2.7838 4.7813 4.8914
angles: 99.23 90.00 106.92
Atoms (fractional coordinates):
Au: 0.9972 0.9945 0.0070
Au: 0.7528 0.5056 0.2424
Tc: 0.2438 0.4876 0.7211
Ir: 0.5062 0.0123 0.5295



Record 11
Below is a relaxed structure of TcIrAu2, with properties calculated at the GGA-PBEsol level.

Values from the calculation:
SG   No. 47
E_tot   -27.0 eV per formula unit
Total magnetic moment   0.902 μB/cell

abc: 2.7487 4.7273 4.8262
angles: 90.00 90.00 90.00
Atoms (fractional coordinates):
Au: 0.5000 0.5000 0.0000
Tc: 0.0000 0.5000 0.5000
Au: 0.0000 0.0000 0.0000
Ir: 0.5000 0.0000 0.5000



Record 12
Below is a relaxed structure of TeIrAu, with properties calculated at the GGA-PBEsol level.

Values from the calculation:
SG   No. 107
Energy relative to the elements, uncorrected   32.7 kJ/mol of atoms
Total magnetic moment   0.000 μB/cell

abc: 3.5075 3.5075 5.1536
angles: 109.89 109.89 90.00
Atoms (fractional coordinates):
Au: 0.9938 0.9938 0.9876
Ir: 0.3115 0.3115 0.6230
Te: 0.6947 0.6947 0.3894